## BaW2O7 (PBE+U)

Data for a relaxed structure of BaW2O7.

final energy: -7.320 eV/atom
spin magnetization: 0.00 μB/f.u.
calculated volume: 12.9 A^3/atom
theoretical density: 7.9 g cm⁻³
symmetry: Cmmm (65)

a b c (Å): 6.1089 6.1089 3.9159
angles (deg): 90.00 90.00 117.75
Closest atoms and distances in Å follow each position.
Positions (direct):
Ba: 0.0000 0.0000 0.0000  8 O 2.76
W: 0.3094 0.6906 0.5000  7 O 1.96-2.06
W: 0.6906 0.3094 0.5000  7 O 1.96-2.06
O: 0.0384 0.3337 0.5000  2 W 2.03-2.06
O: 0.3052 0.6948 0.0000  2 W 1.96
O: 0.3337 0.0384 0.5000  2 W 2.03-2.06
O: 0.5000 0.5000 0.5000  2 W 1.99
O: 0.6663 0.9616 0.5000  2 W 2.03-2.06
O: 0.6948 0.3052 0.0000  2 W 1.96
O: 0.9616 0.6663 0.5000  2 W 2.03-2.06